No. 1
Here is crystalline YTaCoB at its relaxed geometry from OQMD. Energies are from GGA-PBE.

Cell lengths 4.3819, 4.3819, 4.3819 Å; angles 60.00, 60.00, 60.00 degrees
With the nearest neighbours (Å) after each atom.
Atoms (fractional coordinates):
1 Co 0.7500 0.7500 0.7500  4 Y 2.68, 4 B 2.68
2 Y 0.5000 0.5000 0.5000  4 Co 2.68, 4 Ta 2.68
3 Ta 0.2500 0.2500 0.2500  4 Y 2.68, 4 B 2.68
4 B 0.0000 0.0000 0.0000  4 Co 2.68, 4 Ta 2.68

As for the crystal system: cubic. The value obtained for the polymorph energy (0 for the lowest one) is 53 meV per atom. As for the symmetry: No. 216.



No. 2
Here is crystalline YTaCoB at its relaxed geometry from OQMD. Energies are from GGA-PBE.

Cell lengths 4.4061, 4.4061, 4.4061 Å; angles 60.00, 60.00, 60.00 degrees
With the nearest neighbours (Å) after each atom.
Atoms (fractional coordinates):
1 B 0.0000 0.0000 0.0000  4 Y 2.70, 4 Co 2.70
2 Ta 0.5000 0.5000 0.5000  4 Co 2.70, 4 Y 2.70
3 Co 0.7500 0.7500 0.7500  4 Ta 2.70, 4 B 2.70
4 Y 0.2500 0.2500 0.2500  4 B 2.70, 4 Ta 2.70

As for the crystal system: cubic. The value obtained for the polymorph energy (0 for the lowest one) is 0 meV per atom. As for the symmetry: No. 216.



No. 3
Here is crystalline TaZnCoB at its relaxed geometry from OQMD. Energies are from GGA-PBE.

Cell lengths 4.0765, 4.0765, 4.0765 Å; angles 60.00, 60.00, 60.00 degrees
With the nearest neighbours (Å) after each atom.
Atoms (fractional coordinates):
1 Co 0.7500 0.7500 0.7500  4 B 2.50, 4 Zn 2.50
2 Zn 0.5000 0.5000 0.5000  4 Ta 2.50, 4 Co 2.50
3 B 0.0000 0.0000 0.0000  4 Co 2.50, 4 Ta 2.50
4 Ta 0.2500 0.2500 0.2500  4 B 2.50, 4 Zn 2.50

As for the crystal system: cubic. The value obtained for the polymorph energy (0 for the lowest one) is 0 meV per atom. As for the symmetry: No. 216.



No. 4
Here is crystalline TaZnCoB at its relaxed geometry from OQMD. Energies are from GGA-PBE.

Cell lengths 4.1004, 4.1004, 4.1004 Å; angles 60.00, 60.00, 60.00 degrees
With the nearest neighbours (Å) after each atom.
Atoms (fractional coordinates):
1 Co 0.7500 0.7500 0.7500  4 Ta 2.51, 4 B 2.51
2 Ta 0.5000 0.5000 0.5000  4 Zn 2.51, 4 Co 2.51
3 Zn 0.2500 0.2500 0.2500  4 Ta 2.51, 4 B 2.51
4 B 0.0000 0.0000 0.0000  4 Zn 2.51, 4 Co 2.51

As for the crystal system: cubic. The value obtained for the polymorph energy (0 for the lowest one) is 143 meV per atom. As for the symmetry: No. 216.



No. 5
Here is crystalline ZrTaCoB at its relaxed geometry from OQMD. Energies are from GGA-PBE.

Cell lengths 4.3196, 4.3196, 4.3196 Å; angles 60.00, 60.00, 60.00 degrees
With the nearest neighbours (Å) after each atom.
Atoms (fractional coordinates):
1 Zr 0.2500 0.2500 0.2500  4 B 2.65, 4 Ta 2.65
2 Co 0.7500 0.7500 0.7500  4 Ta 2.65, 4 B 2.65
3 Ta 0.5000 0.5000 0.5000  4 Co 2.65, 4 Zr 2.65
4 B 0.0000 0.0000 0.0000  4 Zr 2.65, 4 Co 2.65

As for the crystal system: cubic. The value obtained for the polymorph energy (0 for the lowest one) is 0 meV per atom. As for the symmetry: No. 216.



No. 6
Here is crystalline Tb2Co14B at its relaxed geometry from OQMD. Energies are from GGA-PBE.

Cell lengths 8.5511, 8.5511, 11.6458 Å; angles 90.00, 90.00, 90.00 degrees
With the nearest neighbours (Å) after each atom.
Atoms (fractional coordinates):
1 Co 0.9312 0.2756 0.8735  1 B 2.03
2 Co 0.3177 0.6823 0.7466  12 Co 2.56-2.71
3 B 0.3781 0.3781 0.5000  6 Co 2.01-2.03
4 Co 0.5000 0.0000 0.5000  8 Co 2.41-2.49
5 B 0.8781 0.1219 0.0000  6 Co 2.01-2.03
6 Co 0.7756 0.5688 0.6265  1 B 2.03
7 Co 0.8596 0.5367 0.1775  10 Co 2.31-2.57
8 Co 0.1823 0.1823 0.7534  12 Co 2.56-2.71
9 B 0.1219 0.8781 0.0000  6 Co 2.01-2.03
10 Co 0.4018 0.4018 0.7987  8 Co 2.31-2.58
11 Co 0.0982 0.9018 0.2987  8 Co 2.31-2.58
12 Co 0.5688 0.7756 0.3735  1 B 2.03
13 Co 0.0000 0.0000 0.1178  2 B 2.01
14 Co 0.2244 0.4312 0.3735  1 B 2.03
15 Co 0.4312 0.2244 0.6265  1 B 2.03
16 Co 0.9633 0.3596 0.3225  10 Co 2.31-2.57
17 Co 0.9018 0.0982 0.2987  8 Co 2.31-2.58
18 Co 0.3596 0.9633 0.3225  10 Co 2.31-2.57
19 Co 0.5000 0.5000 0.6178  2 B 2.01
20 Co 0.6823 0.3177 0.7466  12 Co 2.56-2.71
21 Co 0.5982 0.5982 0.2013  8 Co 2.31-2.58
22 Co 0.0000 0.5000 0.5000  8 Co 2.41-2.49
23 Tb 0.3536 0.6464 0.0000  1 B 2.80, 6 Co 2.92-2.98
24 Co 0.8177 0.8177 0.2466  12 Co 2.56-2.71
25 Co 0.6823 0.3177 0.2534  12 Co 2.56-2.71
26 Co 0.0982 0.9018 0.7013  8 Co 2.31-2.58
27 B 0.6219 0.6219 0.5000  6 Co 2.01-2.03
28 Tb 0.2233 0.2233 0.0000  16 Co 2.91-3.19, 2 B 3.08
29 Co 0.3596 0.9633 0.6775  10 Co 2.31-2.57
30 Co 0.1404 0.4633 0.8225  10 Co 2.31-2.57
31 Co 0.1823 0.1823 0.2466  12 Co 2.56-2.71
32 Co 0.0367 0.6404 0.6775  10 Co 2.31-2.57
33 Tb 0.7767 0.7767 0.0000  16 Co 2.91-3.19, 2 B 3.08
34 Co 0.9312 0.2756 0.1265  1 B 2.03
35 Tb 0.6464 0.3536 0.0000  1 B 2.80, 6 Co 2.92-2.98
36 Co 0.0367 0.6404 0.3225  10 Co 2.31-2.57
37 Co 0.7244 0.0688 0.8735  1 B 2.03
38 Co 0.5982 0.5982 0.7987  8 Co 2.31-2.58
39 Co 0.5688 0.7756 0.6265  1 B 2.03
40 Tb 0.7233 0.2767 0.5000  16 Co 2.91-3.19, 2 B 3.08
41 Tb 0.2767 0.7233 0.5000  16 Co 2.91-3.19, 2 B 3.08
42 Co 0.7244 0.0688 0.1265  1 B 2.03
43 Co 0.9018 0.0982 0.7013  8 Co 2.31-2.58
44 Co 0.8596 0.5367 0.8225  10 Co 2.31-2.57
45 Co 0.1404 0.4633 0.1775  10 Co 2.31-2.57
46 Co 0.5000 0.0000 0.0000  8 Co 2.41-2.49
47 Co 0.0688 0.7244 0.1265  1 B 2.03
48 Co 0.2756 0.9312 0.8735  1 B 2.03
49 Co 0.9633 0.3596 0.6775  10 Co 2.31-2.57
50 Co 0.4018 0.4018 0.2013  8 Co 2.31-2.58
51 Tb 0.1464 0.1464 0.5000  1 B 2.80, 6 Co 2.92-2.98
52 Co 0.5367 0.8596 0.1775  10 Co 2.31-2.57
53 Co 0.0000 0.5000 0.0000  8 Co 2.41-2.49
54 Co 0.0688 0.7244 0.8735  1 B 2.03
55 Co 0.2756 0.9312 0.1265  1 B 2.03
56 Co 0.4633 0.1404 0.1775  10 Co 2.31-2.57
57 Co 0.4312 0.2244 0.3735  1 B 2.03
58 Co 0.8177 0.8177 0.7534  12 Co 2.56-2.71
59 Co 0.3177 0.6823 0.2534  12 Co 2.56-2.71
60 Co 0.6404 0.0367 0.6775  10 Co 2.31-2.57
61 Tb 0.8536 0.8536 0.5000  1 B 2.80, 6 Co 2.92-2.98
62 Co 0.0000 0.0000 0.8822  2 B 2.01
63 Co 0.5367 0.8596 0.8225  10 Co 2.31-2.57
64 Co 0.5000 0.5000 0.3822  2 B 2.01
65 Co 0.6404 0.0367 0.3225  10 Co 2.31-2.57
66 Co 0.7756 0.5688 0.3735  1 B 2.03
67 Co 0.4633 0.1404 0.8225  10 Co 2.31-2.57
68 Co 0.2244 0.4312 0.6265  1 B 2.03

As for the crystal system: tetragonal. The calculation puts the total energy at -118.2 eV/f.u. As for the symmetry: No. 136.



No. 7
Here is crystalline TbCo3B2 at its relaxed geometry from OQMD. Energies are from GGA-PBE.

Cell lengths 5.0097, 5.0097, 3.0224 Å; angles 90.00, 90.00, 119.99 degrees
With the nearest neighbours (Å) after each atom.
Atoms (fractional coordinates):
1 Co 0.0000 0.5000 0.5000  4 B 2.09
2 B 0.3334 0.6667 0.0000  6 Co 2.09
3 B 0.6667 0.3334 0.0000  6 Co 2.09
4 Co 0.5000 0.5000 0.5000  4 B 2.09
5 Tb 0.0000 0.0000 0.0000  6 B 2.89, 12 Co 2.93, 2 Tb 3.02
6 Co 0.5000 0.0000 0.5000  4 B 2.09

As for the crystal system: hexagonal. The calculation puts the total energy at -42.2 eV/f.u. As for the symmetry: No. 191.



No. 8
Here is crystalline Tb5Co2B6 at its relaxed geometry from OQMD. Energies are from GGA-PBE.

Cell lengths 8.3988, 8.3988, 8.3988 Å; angles 37.55, 37.55, 37.55 degrees
With the nearest neighbours (Å) after each atom.
Atoms (fractional coordinates):
1 B 0.1683 0.5000 0.8317  3 B 1.79-1.82
2 Tb 0.4161 0.4161 0.4161  6 B 2.66
3 Tb 0.7484 0.7484 0.7484  6 B 2.69
4 B 0.8317 0.5000 0.1683  3 B 1.79-1.82
5 Tb 0.0000 0.0000 0.0000  2 Co 2.81
6 Co 0.1202 0.1202 0.1202  6 B 2.11
7 Tb 0.2516 0.2516 0.2516  6 B 2.69
8 B 0.5000 0.8317 0.1683  3 B 1.79-1.82
9 Co 0.8798 0.8798 0.8798  6 B 2.11
10 B 0.5000 0.1683 0.8317  3 B 1.79-1.82
11 B 0.8317 0.1683 0.5000  3 B 1.79-1.82
12 B 0.1683 0.8317 0.5000  3 B 1.79-1.82
13 Tb 0.5839 0.5839 0.5839  6 B 2.66

As for the crystal system: trigonal. The calculation puts the total energy at -84.2 eV/f.u. As for the symmetry: No. 166.



No. 9
Here is crystalline TbCo4B at its relaxed geometry from OQMD. Energies are from GGA-PBE.

Cell lengths 5.0170, 5.0170, 6.8187 Å; angles 90.00, 90.00, 120.00 degrees
With the nearest neighbours (Å) after each atom.
Atoms (fractional coordinates):
1 Co 0.3333 0.6667 0.0000  6 Co 2.44
2 Co 0.5000 0.0000 0.2881  2 B 2.05
3 Tb 0.0000 0.0000 0.5000  12 Co 2.89, 6 B 2.90
4 Co 0.5000 0.5000 0.7119  2 B 2.05
5 Co 0.0000 0.5000 0.2881  2 B 2.05
6 Co 0.0000 0.5000 0.7119  2 B 2.05
7 Co 0.6667 0.3333 0.0000  6 Co 2.44
8 Co 0.5000 0.5000 0.2881  2 B 2.05
9 Tb 0.0000 0.0000 0.0000  18 Co 2.90-3.19
10 Co 0.5000 0.0000 0.7119  2 B 2.05
11 B 0.6667 0.3333 0.5000  6 Co 2.05
12 B 0.3333 0.6667 0.5000  6 Co 2.05

As for the crystal system: hexagonal. The calculation puts the total energy at -41.5 eV/f.u. As for the symmetry: No. 191.



No. 10
Here is crystalline Tb2Co14B at its relaxed geometry from OQMD. Energies are from GGA-PBE.

Cell lengths 8.5533, 8.5533, 11.6445 Å; angles 90.00, 90.00, 90.00 degrees
With the nearest neighbours (Å) after each atom.
Atoms (fractional coordinates):
1 B 0.1216 0.1216 0.5000  6 Co 2.01-2.03
2 Co 0.4314 0.7755 0.8735  1 B 2.03
3 Co 0.3594 0.0366 0.1775  10 Co 2.31-2.57
4 Co 0.7245 0.9314 0.3735  1 B 2.03
5 Co 0.2245 0.5686 0.1265  1 B 2.03
6 Co 0.5000 0.5000 0.1181  2 B 2.01
7 Tb 0.7231 0.7231 0.0000  16 Co 2.91-3.19, 2 B 3.07
8 Co 0.0000 0.0000 0.6181  2 B 2.01
9 Co 0.2755 0.0686 0.6265  1 B 2.03
10 Co 0.0366 0.3594 0.8225  10 Co 2.31-2.57
11 Co 0.7755 0.4314 0.8735  1 B 2.03
12 Tb 0.1462 0.8538 0.0000  1 B 2.81, 6 Co 2.93-2.98
13 Co 0.6827 0.6827 0.2466  12 Co 2.56-2.70
14 Co 0.5366 0.1406 0.3225  10 Co 2.31-2.57
15 Co 0.4634 0.8594 0.3225  10 Co 2.31-2.57
16 Co 0.5000 0.5000 0.8819  2 B 2.01
17 Co 0.0983 0.0983 0.2013  8 Co 2.31-2.58
18 Co 0.2755 0.0686 0.3735  1 B 2.03
19 Co 0.1406 0.5366 0.6775  10 Co 2.31-2.57
20 Co 0.0000 0.5000 0.5000  8 Co 2.41-2.49
21 Tb 0.3538 0.3538 0.5000  1 B 2.81, 6 Co 2.93-2.98
22 Co 0.0366 0.3594 0.1775  10 Co 2.31-2.57
23 Co 0.3173 0.3173 0.7534  12 Co 2.56-2.70
24 Co 0.5983 0.4017 0.2987  8 Co 2.31-2.58
25 Co 0.2245 0.5686 0.8735  1 B 2.03
26 Co 0.0983 0.0983 0.7987  8 Co 2.31-2.58
27 Co 0.5686 0.2245 0.8735  1 B 2.03
28 Co 0.6406 0.9634 0.1775  10 Co 2.31-2.57
29 Co 0.3594 0.0366 0.8225  10 Co 2.31-2.57
30 Tb 0.2231 0.7769 0.5000  16 Co 2.91-3.19, 2 B 3.07
31 Co 0.8173 0.1827 0.2534  12 Co 2.56-2.70
32 Co 0.3173 0.3173 0.2466  12 Co 2.56-2.70
33 Co 0.9017 0.9017 0.2013  8 Co 2.31-2.58
34 Co 0.7755 0.4314 0.1265  1 B 2.03
35 Co 0.8594 0.4634 0.3225  10 Co 2.31-2.57
36 Tb 0.8538 0.1462 0.0000  1 B 2.81, 6 Co 2.93-2.98
37 Co 0.0686 0.2755 0.6265  1 B 2.03
38 Co 0.6827 0.6827 0.7534  12 Co 2.56-2.70
39 Co 0.0000 0.0000 0.3819  2 B 2.01
40 Co 0.9017 0.9017 0.7987  8 Co 2.31-2.58
41 Co 0.5983 0.4017 0.7013  8 Co 2.31-2.58
42 Co 0.1406 0.5366 0.3225  10 Co 2.31-2.57
43 Co 0.4017 0.5983 0.2987  8 Co 2.31-2.58
44 Tb 0.2769 0.2769 0.0000  16 Co 2.91-3.19, 2 B 3.07
45 Tb 0.6462 0.6462 0.5000  1 B 2.81, 6 Co 2.93-2.98
46 Co 0.1827 0.8173 0.2534  12 Co 2.56-2.70
47 Co 0.9634 0.6406 0.1775  10 Co 2.31-2.57
48 B 0.8784 0.8784 0.5000  6 Co 2.01-2.03
49 Co 0.0000 0.5000 0.0000  8 Co 2.41-2.49
50 Co 0.4017 0.5983 0.7013  8 Co 2.31-2.58
51 Co 0.5000 0.0000 0.5000  8 Co 2.41-2.49
52 Co 0.8594 0.4634 0.6775  10 Co 2.31-2.57
53 Co 0.4314 0.7755 0.1265  1 B 2.03
54 Co 0.1827 0.8173 0.7466  12 Co 2.56-2.70
55 Co 0.9314 0.7245 0.3735  1 B 2.03
56 B 0.3784 0.6216 0.0000  6 Co 2.01-2.03
57 Co 0.9314 0.7245 0.6265  1 B 2.03
58 Co 0.6406 0.9634 0.8225  10 Co 2.31-2.57
59 Co 0.5366 0.1406 0.6775  10 Co 2.31-2.57
60 Co 0.0686 0.2755 0.3735  1 B 2.03
61 Tb 0.7769 0.2231 0.5000  16 Co 2.91-3.19, 2 B 3.07
62 Co 0.7245 0.9314 0.6265  1 B 2.03
63 Co 0.9634 0.6406 0.8225  10 Co 2.31-2.57
64 Co 0.8173 0.1827 0.7466  12 Co 2.56-2.70
65 Co 0.5686 0.2245 0.1265  1 B 2.03
66 B 0.6216 0.3784 0.0000  6 Co 2.01-2.03
67 Co 0.4634 0.8594 0.6775  10 Co 2.31-2.57
68 Co 0.5000 0.0000 0.0000  8 Co 2.41-2.49

As for the crystal system: tetragonal. The calculation puts the total energy at -118.2 eV/f.u. As for the symmetry: No. 136.



Number 1: spin magnetization 1.92 Bohr magnetons per cell. Number 2: spin magnetization 0.65 Bohr magnetons per cell. Number 3: spin magnetization 1.08 Bohr magnetons per cell. Number 4: spin magnetization 0.00 Bohr magnetons per cell. Number 5: spin magnetization 0.89 Bohr magnetons per cell. Number 6: spin magnetization 72.92 Bohr magnetons per cell. Number 7: spin magnetization 0.01 Bohr magnetons per cell. Number 8: spin magnetization 0.00 Bohr magnetons per cell. Number 9: spin magnetization 7.13 Bohr magnetons per cell. Number 10: spin magnetization 72.99 Bohr magnetons per cell.